A relaxed TaP2RuCl crystal. Source: the Alexandria database, functional GGA-PBE.

abc: 4.834 4.834 4.723
angles: 90.00 90.00 90.00
Element x y z (fractional)
Ta 0.000 0.000 0.000
P 0.000 0.500 0.000
P 0.500 0.000 0.000
Ru 0.500 0.500 0.500
Cl 0.000 0.000 0.500

raw formation energy: 810 meV/atom
SG: P4/mmm, No. 123
DOS(E_F): 4.50 states/eV/cell
raw total energy: -5.95 eV per atom